(1)
An optimized crystal structure of CsVI2O. Source: Alexandria, functional PBE+U.

Properties
N(E_F), states/eV per cell: 0.8

CIF file:
```
data_CsVI2O
_chemical_formula_sum 'Cs1 V1 I2 O1'
_symmetry_space_group_name_H-M 'P 4/m m m'
_symmetry_Int_Tables_number 123
_symmetry_space_group_name_Hall '-P 4 2'
_cell_length_a 6.360
_cell_length_b 6.360
_cell_length_c 3.799
_cell_angle_alpha 90.00
_cell_angle_beta 90.00
_cell_angle_gamma 90.00
loop_
_atom_site_label
_atom_site_fract_x
_atom_site_fract_y
_atom_site_fract_z
_atom_site_occupancy
Cs1 0.000 0.000 0.000 1
V1 0.500 0.500 0.500 1
I1 0.000 0.500 0.500 1
O1 0.500 0.500 0.000 1
```

***

(2)
An optimized crystal structure of CsVI2O. Source: Alexandria, functional PBE+U.

Properties
N(E_F), states/eV per cell: 7.4

CIF file:
```
data_CsVI2O
_chemical_formula_sum 'Cs1 V1 I2 O1'
_symmetry_space_group_name_H-M 'P 4/m m m'
_symmetry_Int_Tables_number 123
_symmetry_space_group_name_Hall '-P 4 2'
_cell_length_a 6.854
_cell_length_b 6.854
_cell_length_c 4.388
_cell_angle_alpha 90.00
_cell_angle_beta 90.00
_cell_angle_gamma 90.00
loop_
_atom_site_label
_atom_site_fract_x
_atom_site_fract_y
_atom_site_fract_z
_atom_site_occupancy
Cs1 0.000 0.000 0.000 1
V1 0.500 0.500 0.500 1
I1 0.000 0.500 0.000 1
O1 0.000 0.000 0.500 1
```

***

(3)
An optimized crystal structure of CsWIO2. Source: Alexandria, functional PBE+U.

Properties
N(E_F), states/eV per cell: 1.7

CIF file:
```
data_CsWIO2
_chemical_formula_sum 'Cs1 W1 I1 O2'
_symmetry_space_group_name_H-M 'P 4/m m m'
_symmetry_Int_Tables_number 123
_symmetry_space_group_name_Hall '-P 4 2'
_cell_length_a 4.434
_cell_length_b 4.434
_cell_length_c 7.470
_cell_angle_alpha 90.00
_cell_angle_beta 90.00
_cell_angle_gamma 90.00
loop_
_atom_site_label
_atom_site_fract_x
_atom_site_fract_y
_atom_site_fract_z
_atom_site_occupancy
Cs1 0.000 0.000 0.000 1
W1 0.500 0.500 0.500 1
I1 0.000 0.000 0.500 1
O1 0.000 0.500 0.000 1
```

***

(4)
An optimized crystal structure of Cs2WIO6. Source: Alexandria, functional PBE+U.

Properties
N(E_F), states/eV per cell: 4.5

CIF file:
```
data_Cs2WIO6
_chemical_formula_sum 'Cs4 W2 I2 O12'
_symmetry_space_group_name_H-M 'I 4/m m m'
_symmetry_Int_Tables_number 139
_symmetry_space_group_name_Hall '-I 4 2'
_cell_length_a 5.728
_cell_length_b 5.728
_cell_length_c 11.618
_cell_angle_alpha 90.00
_cell_angle_beta 90.00
_cell_angle_gamma 90.00
loop_
_atom_site_label
_atom_site_fract_x
_atom_site_fract_y
_atom_site_fract_z
_atom_site_occupancy
Cs1 0.000 0.500 0.250 1
W1 0.000 0.000 0.000 1
I1 0.000 0.000 0.500 1
O1 0.000 0.000 0.162 1
O2 0.246 0.246 0.000 1
```

***

(5)
An optimized crystal structure of CsWIO2. Source: Alexandria, functional PBE+U.

Properties
N(E_F), states/eV per cell: 1.1

CIF file:
```
data_CsWIO2
_chemical_formula_sum 'Cs1 W1 I1 O2'
_symmetry_space_group_name_H-M 'P 4/m m m'
_symmetry_Int_Tables_number 123
_symmetry_space_group_name_Hall '-P 4 2'
_cell_length_a 4.417
_cell_length_b 4.417
_cell_length_c 5.773
_cell_angle_alpha 90.00
_cell_angle_beta 90.00
_cell_angle_gamma 90.00
loop_
_atom_site_label
_atom_site_fract_x
_atom_site_fract_y
_atom_site_fract_z
_atom_site_occupancy
Cs1 0.000 0.000 0.000 1
W1 0.500 0.500 0.500 1
I1 0.500 0.500 0.000 1
O1 0.000 0.500 0.500 1
```

***

(6)
An optimized crystal structure of Cs2WI6O. Source: Alexandria, functional PBE+U.

Properties
N(E_F), states/eV per cell: 0.0

CIF file:
```
data_Cs2WI6O
_chemical_formula_sum 'Cs4 W2 I12 O2'
_symmetry_space_group_name_H-M 'I 4/m m m'
_symmetry_Int_Tables_number 139
_symmetry_space_group_name_Hall '-I 4 2'
_cell_length_a 8.000
_cell_length_b 8.000
_cell_length_c 12.951
_cell_angle_alpha 90.00
_cell_angle_beta 90.00
_cell_angle_gamma 90.00
loop_
_atom_site_label
_atom_site_fract_x
_atom_site_fract_y
_atom_site_fract_z
_atom_site_occupancy
Cs1 0.000 0.500 0.250 1
W1 0.000 0.000 0.000 1
I1 0.000 0.000 0.220 1
I2 0.250 0.250 0.000 1
O1 0.000 0.000 0.500 1
```

***

(7)
An optimized crystal structure of CsWIO6. Source: Alexandria, functional PBE+U.

Properties
N(E_F), states/eV per cell: 0.0

CIF file:
```
data_CsWIO6
_chemical_formula_sum 'Cs2 W2 I2 O12'
_symmetry_space_group_name_H-M 'C 1 2 1'
_symmetry_Int_Tables_number 5
_cell_length_a 5.337
_cell_length_b 10.356
_cell_length_c 6.608
_cell_angle_alpha 90.00
_cell_angle_beta 91.89
_cell_angle_gamma 90.00
loop_
_symmetry_equiv_pos_as_xyz
'x,y,z'
'-x,y,-z'
'x+1/2,y+1/2,z'
'-x+1/2,y+1/2,-z'
loop_
_atom_site_label
_atom_site_fract_x
_atom_site_fract_y
_atom_site_fract_z
_atom_site_occupancy
Cs1 0.000 0.000 0.000 1
W1 0.000 0.338 0.500 1
I1 0.000 0.672 0.500 1
O1 0.056 0.459 0.305 1
O2 0.170 0.799 0.338 1
O3 0.185 0.201 0.337 1
```

***

Electronic total energy: -4.330; -2.765; -3.074; -5.370; -4.677; -2.847; -5.715 (eV/atom)
Magnetization: 1.99; 3.22; 4.72; 1.91; 2.00; 8.00; 0.00 (μB per cell)